{"formula": "Cr2HgCl", "functional": "GGA-PBE", "state": "optimized geometry", "lattice": [[3.332, 0.000, 0.000], [0.000, 5.981, 0.026], [0.000, 3.963, 4.096]], "species": ["Cr", "Cr", "Hg", "Cl"], "frac_coords": [[0.000, 0.000, 0.000], [0.500, 0.500, 0.000], [0.500, 0.500, 0.500], [0.000, 0.000, 0.500]], "energy_ev_per_atom": -4.901, "raw_formation_energy_ev_per_fu": 1.79, "dos_at_fermi_per_ev_cell": 2.7, "magnetic_moment_mub_per_fu": 8.752, "volume_a3_per_fu": 81}